1.
ErGaNi2: relaxed, GGA-PBE.

Results
For the energy of formation from the pure elements, the calculation gives -2.20 eV/f.u. The calculation puts the calculated density at 8.946 Mg/m³. The calculation puts the total DFT energy (no corrections) at -5.34 eV per atom. Its space group is R-3m.

The structure in POSCAR format:
```
ErGaNi2
1.0
4.143 0.000 0.000
2.072 3.588 0.000
2.072 1.196 4.425
Ni Er Ga
2 1 1
direct
0.796 0.796 0.613
0.204 0.204 0.387
0.000 0.000 0.000
0.500 0.500 0.500
```

---

2.
ErGaNi5: relaxed, GGA-PBE.

Results
For the energy of formation from the pure elements, the calculation gives -2.84 eV/f.u. The calculation puts the calculated density at 9.404 Mg/m³. The calculation puts the total DFT energy (no corrections) at -5.62 eV per atom. Its space group is Pnma.

The structure in POSCAR format:
```
ErGaNi5
1.0
-3.256 -3.496 -0.471
4.584 -3.557 -5.285
4.435 -5.111 7.287
Ni Er Ga
20 4 4
direct
0.505 0.935 0.306
0.750 0.405 0.983
0.250 0.187 0.249
0.995 0.435 0.194
0.250 0.595 0.017
0.750 0.053 0.908
0.495 0.065 0.694
0.995 0.935 0.306
0.750 0.905 0.517
0.005 0.065 0.694
0.750 0.813 0.751
0.250 0.447 0.408
0.495 0.565 0.806
0.750 0.313 0.749
0.250 0.095 0.483
0.250 0.947 0.092
0.750 0.553 0.592
0.505 0.435 0.194
0.005 0.565 0.806
0.250 0.687 0.251
0.250 0.747 0.560
0.750 0.753 0.060
0.750 0.253 0.440
0.250 0.247 0.940
0.750 0.642 0.358
0.750 0.142 0.142
0.250 0.358 0.642
0.250 0.858 0.858
```

---

3.
Er2Ga8Ni: relaxed, GGA-PBE.

Results
For the energy of formation from the pure elements, the calculation gives -5.30 eV/f.u. The calculation puts the calculated density at 7.969 Mg/m³. The calculation puts the total DFT energy (no corrections) at -4.04 eV per atom. Its space group is P4/mmm.

The structure in POSCAR format:
```
Er2Ga8Ni
1.0
-1.353 -0.174 4.019
-3.163 -2.574 -1.176
6.443 -8.737 1.790
Ga Er Ni
8 2 1
direct
0.000 0.500 0.120
0.500 0.500 0.304
0.000 0.500 0.500
0.500 0.000 0.500
0.000 0.500 0.880
0.500 0.000 0.120
0.500 0.000 0.880
0.500 0.500 0.696
0.000 0.000 0.693
0.000 0.000 0.307
0.000 0.000 0.000
```

---

Number 1: D(E_F) 0.537 states/eV per atom. Number 2: D(E_F) 1.050 states/eV per atom. Number 3: D(E_F) 0.487 states/eV per atom.